# 1
PrPa3N6 | PBE | optimized geometry

Lattice parameters (Å, degrees): 6.9137 6.9137 3.7092 90.00 90.00 110.56
Last column: nearest neighbours and their distance in Å.
Fractional coordinates of all 10 atoms:
Pr (0.0000, 0.0000, 0.0000)  8 N 2.58-2.79
Pa (0.0000, 0.5000, 0.5000)  6 N 2.23-2.34
Pa (0.5000, 0.0000, 0.5000)  6 N 2.23-2.34
Pa (0.5000, 0.5000, 0.0000)  4 N 2.16
N (0.1579, 0.8421, 0.5000)  2 Pa 2.23
N (0.1699, 0.4298, 0.0000)  3 Pa 2.16-2.34
N (0.4298, 0.1699, 0.0000)  3 Pa 2.16-2.34
N (0.5702, 0.8301, 0.0000)  3 Pa 2.16-2.34
N (0.8301, 0.5702, 0.0000)  3 Pa 2.16-2.34
N (0.8421, 0.1579, 0.5000)  2 Pa 2.23

Results
ΔE_f (raw) = -1.437 eV per atom

# 2
LiTcAs2Ru | PBE | optimized geometry

Lattice parameters (Å, degrees): 4.3888 4.3888 3.8870 90.00 90.00 90.00
Last column: nearest neighbours and their distance in Å.
Fractional coordinates of all 5 atoms:
Li (0.0000, 0.0000, 0.0000)  2 Ru 1.94
Tc (0.5000, 0.5000, 0.5000)  8 As 2.93, 4 Ru 3.10
As (0.0000, 0.5000, 0.0000)  2 Li 2.19
As (0.5000, 0.0000, 0.0000)  2 Li 2.19
Ru (0.0000, 0.0000, 0.5000)  2 Li 1.94

Results
Energy relative to the elements = 0.9454 eV/atom